Entry 1:
KNiBr2 | PBE-GGA | optimized geometry

Unit cell a=5.5792 b=7.4316 c=3.9058 alpha=83.35 beta=74.17 gamma=128.71
Last column: nearest neighbours and their distance in Å.
Fractional positions:
Br 0.0000 0.0000 0.0000  2 Ni 2.94, 2 K 2.94
Br 0.0000 0.5000 0.5000  2 K 2.94, 2 Ni 2.94
Ni 0.5000 0.0000 0.5000  4 Br 2.94
K 0.5000 0.5000 0.0000  4 Br 2.94

Computed properties:
**Volume**: 112 Å³ per cell
**Energy relative to the elements, uncorrected**: -0.341 eV per atom

---

Entry 2:
ZnFeHg2 | PBE-GGA | optimized geometry

Unit cell a=9.4599 b=9.4599 c=9.4599 alpha=18.49 beta=18.49 gamma=18.49
Last column: nearest neighbours and their distance in Å.
Fractional positions:
Fe 0.7500 0.7500 0.7500  6 Hg 2.82, 6 Fe 3.04
Zn 0.2500 0.2500 0.2500  6 Hg 3.00, 6 Zn 3.04
Hg 0.0041 0.0041 0.0041  3 Fe 2.82, 3 Zn 3.00, 6 Hg 3.04
Hg 0.4959 0.4959 0.4959  3 Fe 2.82, 3 Zn 3.00, 6 Hg 3.04

Computed properties:
**E_tot**: -2.18 eV/atom
**Volume**: 74 Å³ per cell

---

Entry 3:
Pm6CdRh5 | PBE-GGA | optimized geometry

Unit cell a=7.1843 b=7.6243 c=6.7280 alpha=55.49 beta=82.11 gamma=75.98
Last column: nearest neighbours and their distance in Å.
Fractional positions:
Rh 0.0000 0.7101 0.5797  6 Pm 2.87-2.97
Rh 0.0000 0.2899 0.4203  6 Pm 2.87-2.97
Rh 0.5000 0.5000 0.0000  6 Pm 2.80-2.81
Rh 0.5000 0.8753 0.2495  1 Rh 2.77, 6 Pm 2.90-3.05
Rh 0.5000 0.1247 0.7505  1 Rh 2.77, 6 Pm 2.90-3.05
Pm 0.2137 0.3083 0.0000  5 Rh 2.80-3.05, 1 Cd 3.10
Pm 0.7863 0.6917 0.0000  5 Rh 2.80-3.05, 1 Cd 3.10
Pm 0.2837 0.8947 0.6366  5 Rh 2.81-3.04
Pm 0.7163 0.1053 0.3634  5 Rh 2.81-3.04
Pm 0.7163 0.4687 0.6366  5 Rh 2.81-3.04
Pm 0.2837 0.5313 0.3634  5 Rh 2.81-3.04
Cd 0.0000 0.0000 0.0000  6 Pm 3.10-3.29, 2 Rh 3.21

Computed properties:
**E_tot**: -6.02 eV/atom
**Volume**: 295 Å³ per cell

---

Entry 4:
Ta2TiNiHg | PBE-GGA | optimized geometry

Unit cell a=4.5904 b=4.7689 c=4.5904 alpha=90.00 beta=90.00 gamma=90.00
Last column: nearest neighbours and their distance in Å.
Fractional positions:
Ta 0.0000 0.0000 0.5000  2 Ni 2.30
Ta 0.5000 0.0000 0.0000  2 Ni 2.30
Ni 0.0000 0.0000 0.0000  4 Ta 2.30, 2 Hg 2.38
Ti 0.5000 0.5000 0.5000  4 Hg 3.25, 8 Ta 3.31
Hg 0.0000 0.5000 0.0000  2 Ni 2.38

Computed properties:
**E_tot**: -6.64 eV/atom
**Volume**: 100 Å³ per cell

---

Entry 5:
Ag2RhCl2 | PBE-GGA | optimized geometry

Unit cell a=5.1631 b=5.1631 c=5.5302 alpha=62.17 beta=62.17 gamma=90.00
Last column: nearest neighbours and their distance in Å.
Fractional positions:
Cl 0.7500 0.2500 0.5000  4 Ag 2.68
Cl 0.2500 0.7500 0.5000  4 Ag 2.68
Ag 0.3351 0.3351 0.3299  4 Cl 2.68, 1 Ag 2.74, 1 Rh 2.78
Ag 0.6649 0.6649 0.6701  4 Cl 2.68, 1 Ag 2.74, 1 Rh 2.78
Rh 0.0000 0.0000 0.0000  2 Ag 2.78

Computed properties:
**Volume**: 111 Å³ per cell
**Energy relative to the elements, uncorrected**: 0.508 eV per atom

---

Entry 6:
La3MgPt | PBE-GGA | optimized geometry

Unit cell a=7.2163 b=10.2609 c=9.5555 alpha=120.27 beta=90.00 gamma=90.00
Last column: nearest neighbours and their distance in Å.
Fractional positions:
Mg 0.2998 0.0000 0.5000  1 Mg 2.89
Mg 0.2002 0.5000 0.5000  1 Mg 2.89
Mg 0.7998 0.5000 0.5000  1 Mg 2.89
Mg 0.7002 0.0000 0.5000  1 Mg 2.89
La 0.4997 0.2052 0.3035  2 Pt 3.03
La 0.4999 0.4228 0.7375  2 Pt 3.01
La 0.0001 0.9228 0.7375  2 Pt 3.01
La 0.5003 0.7948 0.6965  2 Pt 3.03
La 0.0003 0.7052 0.3035  2 Pt 3.03
La 0.5011 0.7997 0.0923  4 Pt 3.05-3.42, 1 La 3.41
La 0.9999 0.0772 0.2625  2 Pt 3.01
La 0.9989 0.2997 0.0923  4 Pt 3.05-3.42, 1 La 3.41
La 0.0011 0.7003 0.9077  4 Pt 3.05-3.42, 1 La 3.41
La 0.4989 0.2003 0.9077  4 Pt 3.05-3.42, 1 La 3.41
La 0.5001 0.5772 0.2625  2 Pt 3.01
La 0.9997 0.2948 0.6965  2 Pt 3.03
Pt 0.7814 0.5005 0.0001  6 La 3.01-3.05, 1 Pt 3.16
Pt 0.7186 0.0005 0.0001  6 La 3.01-3.05, 1 Pt 3.16
Pt 0.2814 0.9995 0.9999  6 La 3.01-3.05, 1 Pt 3.16
Pt 0.2186 0.4995 0.9999  6 La 3.01-3.05, 1 Pt 3.16

Computed properties:
**E_tot**: -4.98 eV/atom
**Volume**: 611 Å³ per cell

---

Entry 7:
PmPr2PuSe4 | PBE-GGA | optimized geometry

Unit cell a=4.1974 b=7.3087 c=7.3271 alpha=109.18 beta=90.00 gamma=90.00
Last column: nearest neighbours and their distance in Å.
Fractional positions:
Se 0.0000 0.2553 0.7590  2 Pu 2.94, 1 Pm 2.96, 3 Pr 3.00-3.03
Se 0.0000 0.7447 0.2410  2 Pu 2.94, 1 Pm 2.96, 3 Pr 3.00-3.03
Se 0.5000 0.2499 0.2426  1 Pu 2.94, 2 Pm 2.96, 3 Pr 3.01-3.03
Se 0.5000 0.7501 0.7574  1 Pu 2.94, 2 Pm 2.96, 3 Pr 3.01-3.03
Pu 0.5000 0.5000 0.0000  6 Se 2.94
Pr 0.0000 0.5000 0.5000  6 Se 3.00-3.01
Pr 0.5000 0.0000 0.5000  6 Se 3.03
Pm 0.0000 0.0000 0.0000  6 Se 2.96

Computed properties:
**Volume**: 212 Å³ per cell
**Energy relative to the elements, uncorrected**: -1.778 eV per atom

---

Entry 8:
Li2Pm3Te4 | PBE-GGA | optimized geometry

Unit cell a=4.5456 b=6.5853 c=17.3281 alpha=90.00 beta=90.00 gamma=90.00
Last column: nearest neighbours and their distance in Å.
Fractional positions:
Te 0.5000 0.7157 0.3308  2 Li 2.77
Te 0.0000 0.7843 0.8308  2 Li 2.77
Te 0.0000 0.7571 0.5724  2 Li 2.67-2.89
Te 0.0000 0.2429 0.4276  2 Li 2.67-2.89
Te 0.0000 0.2157 0.1692  2 Li 2.77
Te 0.5000 0.7429 0.0724  2 Li 2.67-2.89
Te 0.5000 0.2571 0.9276  2 Li 2.67-2.89
Te 0.5000 0.2843 0.6692  2 Li 2.77
Pm 0.0000 0.7261 0.1986  6 Te 3.16-3.40
Pm 0.5000 0.2261 0.3014  6 Te 3.16-3.40
Pm 0.5000 0.7739 0.6986  6 Te 3.16-3.40
Pm 0.0000 0.2739 0.8014  6 Te 3.16-3.40
Pm 0.5000 0.5000 0.5000  6 Te 3.10-3.26
Pm 0.0000 0.0000 0.0000  6 Te 3.10-3.26
Li 0.0000 0.1589 0.5910  4 Te 2.67-2.89
Li 0.5000 0.3411 0.0910  4 Te 2.67-2.89
Li 0.5000 0.6589 0.9090  4 Te 2.67-2.89
Li 0.0000 0.8411 0.4090  4 Te 2.67-2.89

Computed properties:
**Volume**: 519 Å³ per cell
**Energy relative to the elements, uncorrected**: -1.193 eV per atom